No. 1
A plane-wave DFT calculation with PBE was carried out for crystalline SrAlP at its relaxed geometry.

Calculated values
Size of the total moment   0.00 μB per formula unit
Space group   F-43m, No. 216
ΔH_f (0 K)   0.03 eV/atom
D(E_F)   2.1 states/eV/cell
VASP energy   -10.7 eV per cell

Unit cell a=4.843 b=4.843 c=4.843 alpha=60.00 beta=60.00 gamma=60.00
Fractional coordinates of all 3 atoms:
Sr: 0.000 0.000 0.000
Al: 0.750 0.750 0.750
P: 0.500 0.500 0.500


No. 2
A plane-wave DFT calculation with PBE was carried out for crystalline AlSn2Bi at its relaxed geometry.

Calculated values
Size of the total moment   0.00 μB per formula unit
Space group   R-3m, No. 166
ΔH_f (0 K)   0.25 eV/atom
D(E_F)   2.4 states/eV/cell
VASP energy   -14.6 eV per cell

Unit cell a=11.818 b=11.818 c=11.818 alpha=16.08 beta=16.08 gamma=16.08
Fractional coordinates of all 4 atoms:
Al: 0.000 0.000 0.000
Sn: 0.081 0.081 0.081
Sn: 0.919 0.919 0.919
Bi: 0.500 0.500 0.500


No. 3
A plane-wave DFT calculation with PBE was carried out for crystalline ZrTcPb2 at its relaxed geometry.

Calculated values
Size of the total moment   0.00 μB per formula unit
Space group   I-42d, No. 122
ΔH_f (0 K)   0.55 eV/atom
D(E_F)   9.0 states/eV/cell
VASP energy   -48.2 eV per cell

Unit cell a=10.943 b=10.943 c=10.943 alpha=157.63 beta=157.63 gamma=31.85
Fractional coordinates of all 8 atoms:
Zr: 0.000 0.000 0.000
Zr: 0.750 0.250 0.500
Tc: 0.250 0.750 0.500
Tc: 0.500 0.500 0.000
Pb: 0.131 0.625 0.006
Pb: 0.375 0.381 0.506
Pb: 0.619 0.125 0.994
Pb: 0.875 0.869 0.494


What did the first record say?
A plane-wave DFT calculation with PBE was carried out for crystalline SrAlP at its relaxed geometry.

Calculated values
Size of the total moment   0.00 μB per formula unit
Space group   F-43m, No. 216
ΔH_f (0 K)   0.03 eV/atom
D(E_F)   2.1 states/eV/cell
VASP energy   -10.7 eV per cell

Unit cell a=4.843 b=4.843 c=4.843 alpha=60.00 beta=60.00 gamma=60.00
Fractional coordinates of all 3 atoms:
Sr: 0.000 0.000 0.000
Al: 0.750 0.750 0.750
P: 0.500 0.500 0.500


Copy entry 1 word for word.
A plane-wave DFT calculation with PBE was carried out for crystalline SrAlP at its relaxed geometry.

Calculated values
Size of the total moment   0.00 μB per formula unit
Space group   F-43m, No. 216
ΔH_f (0 K)   0.03 eV/atom
D(E_F)   2.1 states/eV/cell
VASP energy   -10.7 eV per cell

Unit cell a=4.843 b=4.843 c=4.843 alpha=60.00 beta=60.00 gamma=60.00
Fractional coordinates of all 3 atoms:
Sr: 0.000 0.000 0.000
Al: 0.750 0.750 0.750
P: 0.500 0.500 0.500


> What is the ΔH_f (0 K) in the third record?

0.55 eV/atom


> Which value of size of the total moment does entry 1 give?

0.00 μB per formula unit